Entry 1:
Here is an optimized crystal structure of TbCeDyTm3 from Alexandria. Energies are from PBE.

Summary:
Fermi-level density of states = 59.7 states/eV per cell
Magnetization = 5.87 μB per cell
Calculated formation energy = 0.15 eV/atom
Energy = -4.61 eV/atom

Geometry as CIF:
```
data_TbCeDyTm3
_chemical_formula_sum 'Tb4 Ce4 Dy4 Tm12'
_cell_length_a 5.744
_cell_length_b 11.298
_cell_length_c 11.521
_cell_angle_alpha 90.00
_cell_angle_beta 90.00
_cell_angle_gamma 90.00
_symmetry_space_group_name_H-M 'C m c m'
_symmetry_Int_Tables_number 63
_symmetry_space_group_name_Hall '-C 2c 2'
loop_
_atom_site_label
_atom_site_type_symbol
_atom_site_fract_x
_atom_site_fract_y
_atom_site_fract_z
Tb1 Tb 0.000 0.000 0.000
Ce1 Ce 0.000 0.497 0.250
Dy1 Dy 0.000 0.174 0.250
Tm1 Tm 0.000 0.168 0.750
Tm2 Tm 0.000 0.329 0.504
```

---

Entry 2:
Here is an optimized crystal structure of Tb5CeDy2Tm from Alexandria. Energies are from PBE.

Summary:
Fermi-level density of states = 69.0 states/eV per cell
Magnetization = 3.00 μB per cell
Calculated formation energy = 0.17 eV/atom
Energy = -4.58 eV/atom

Geometry as CIF:
```
data_Tb5CeDy2Tm
_chemical_formula_sum 'Tb20 Ce4 Dy8 Tm4'
_cell_length_a 5.605
_cell_length_b 20.478
_cell_length_c 10.138
_cell_angle_alpha 90.00
_cell_angle_beta 90.00
_cell_angle_gamma 90.00
_symmetry_space_group_name_H-M 'C m c 21'
_symmetry_Int_Tables_number 36
_symmetry_space_group_name_Hall 'C 2c -2'
loop_
_atom_site_label
_atom_site_type_symbol
_atom_site_fract_x
_atom_site_fract_y
_atom_site_fract_z
Tb1 Tb 0.000 0.015 0.000
Tb2 Tb 0.000 0.272 0.699
Tb3 Tb 0.000 0.300 0.313
Tb4 Tb 0.000 0.388 0.988
Tb5 Tb 0.000 0.478 0.275
Ce1 Ce 0.000 0.196 0.000
Dy1 Dy 0.000 0.113 0.699
Dy2 Dy 0.000 0.117 0.288
Tm1 Tm 0.000 0.406 0.570
```

---

Entry 3:
Here is an optimized crystal structure of TbCeDy2Tm from Alexandria. Energies are from PBE.

Summary:
Fermi-level density of states = 19.0 states/eV per cell
Magnetization = 3.28 μB per cell
Calculated formation energy = 0.30 eV/atom
Energy = -4.55 eV/atom

Geometry as CIF:
```
data_TbCeDy2Tm
_chemical_formula_sum 'Tb2 Ce2 Dy4 Tm2'
_cell_length_a 5.834
_cell_length_b 7.721
_cell_length_c 7.107
_cell_angle_alpha 90.00
_cell_angle_beta 90.00
_cell_angle_gamma 90.00
_symmetry_space_group_name_H-M 'P m m a'
_symmetry_Int_Tables_number 51
_symmetry_space_group_name_Hall '-P 2a 2a'
loop_
_atom_site_label
_atom_site_type_symbol
_atom_site_fract_x
_atom_site_fract_y
_atom_site_fract_z
Tb1 Tb 0.250 0.000 0.159
Ce1 Ce 0.000 0.500 0.000
Dy1 Dy 0.250 0.207 0.680
Tm1 Tm 0.250 0.500 0.391
```

---

Entry 4:
Here is an optimized crystal structure of Tb3CeDy6Tm2 from Alexandria. Energies are from PBE.

Summary:
Fermi-level density of states = 37.5 states/eV per cell
Magnetization = 2.30 μB per cell
Calculated formation energy = 0.03 eV/atom
Energy = -4.66 eV/atom

Geometry as CIF:
```
data_Tb3CeDy6Tm2
_chemical_formula_sum 'Tb6 Ce2 Dy12 Tm4'
_cell_length_a 6.128
_cell_length_b 10.608
_cell_length_c 11.735
_cell_angle_alpha 90.00
_cell_angle_beta 100.02
_cell_angle_gamma 90.00
_symmetry_space_group_name_H-M 'C 1 2/m 1'
_symmetry_Int_Tables_number 12
_symmetry_space_group_name_Hall '-C 2y'
loop_
_atom_site_label
_atom_site_type_symbol
_atom_site_fract_x
_atom_site_fract_y
_atom_site_fract_z
Tb1 Tb 0.000 0.000 0.000
Tb2 Tb 0.000 0.333 0.000
Ce1 Ce 0.000 0.500 0.500
Dy1 Dy 0.249 0.334 0.749
Dy2 Dy 0.249 0.500 0.251
Tm1 Tm 0.000 0.167 0.500
```

---

Entry 5:
Here is an optimized crystal structure of Tb4CeDyTm2 from Alexandria. Energies are from PBE.

Summary:
Fermi-level density of states = 12.8 states/eV per cell
Magnetization = 0.97 μB per cell
Calculated formation energy = 0.04 eV/atom
Energy = -4.71 eV/atom

Geometry as CIF:
```
data_Tb4CeDyTm2
_chemical_formula_sum 'Tb4 Ce1 Dy1 Tm2'
_cell_length_a 4.993
_cell_length_b 5.004
_cell_length_c 10.004
_cell_angle_alpha 90.00
_cell_angle_beta 90.00
_cell_angle_gamma 90.00
_symmetry_space_group_name_H-M 'P m m m'
_symmetry_Int_Tables_number 47
_symmetry_space_group_name_Hall '-P 2 2'
loop_
_atom_site_label
_atom_site_type_symbol
_atom_site_fract_x
_atom_site_fract_y
_atom_site_fract_z
Tb1 Tb 0.000 0.000 0.249
Tb2 Tb 0.500 0.500 0.249
Ce1 Ce 0.000 0.500 0.000
Dy1 Dy 0.500 0.000 0.500
Tm1 Tm 0.000 0.500 0.500
Tm2 Tm 0.500 0.000 0.000
```

---

Entry 6:
Here is an optimized crystal structure of TbCeDy3Tm from Alexandria. Energies are from PBE.

Summary:
Fermi-level density of states = 43.6 states/eV per cell
Magnetization = 4.37 μB per cell
Calculated formation energy = 0.05 eV/atom
Energy = -4.75 eV/atom

Geometry as CIF:
```
data_TbCeDy3Tm
_chemical_formula_sum 'Tb4 Ce4 Dy12 Tm4'
_cell_length_a 5.005
_cell_length_b 14.971
_cell_length_c 9.985
_cell_angle_alpha 90.00
_cell_angle_beta 90.00
_cell_angle_gamma 90.00
_symmetry_space_group_name_H-M 'C m c m'
_symmetry_Int_Tables_number 63
_symmetry_space_group_name_Hall '-C 2c 2'
loop_
_atom_site_label
_atom_site_type_symbol
_atom_site_fract_x
_atom_site_fract_y
_atom_site_fract_z
Tb1 Tb 0.000 0.000 0.000
Ce1 Ce 0.000 0.500 0.250
Dy1 Dy 0.000 0.167 0.250
Dy2 Dy 0.000 0.335 0.000
Tm1 Tm 0.000 0.167 0.750
```

---

Entry 7:
Here is an optimized crystal structure of TbCeDy4Tm2 from Alexandria. Energies are from PBE.

Summary:
Fermi-level density of states = 12.7 states/eV per cell
Magnetization = 0.96 μB per cell
Calculated formation energy = 0.05 eV/atom
Energy = -4.69 eV/atom

Geometry as CIF:
```
data_TbCeDy4Tm2
_chemical_formula_sum 'Tb1 Ce1 Dy4 Tm2'
_cell_length_a 4.984
_cell_length_b 4.994
_cell_length_c 9.980
_cell_angle_alpha 90.00
_cell_angle_beta 90.00
_cell_angle_gamma 90.00
_symmetry_space_group_name_H-M 'P m m m'
_symmetry_Int_Tables_number 47
_symmetry_space_group_name_Hall '-P 2 2'
loop_
_atom_site_label
_atom_site_type_symbol
_atom_site_fract_x
_atom_site_fract_y
_atom_site_fract_z
Tb1 Tb 0.000 0.000 0.000
Ce1 Ce 0.500 0.500 0.500
Dy1 Dy 0.000 0.500 0.251
Dy2 Dy 0.500 0.000 0.251
Tm1 Tm 0.000 0.000 0.500
Tm2 Tm 0.500 0.500 0.000
```

---

Entry 8:
Here is an optimized crystal structure of Tb4CeDy2Tm from Alexandria. Energies are from PBE.

Summary:
Fermi-level density of states = 13.8 states/eV per cell
Magnetization = 0.79 μB per cell
Calculated formation energy = 0.04 eV/atom
Energy = -4.73 eV/atom

Geometry as CIF:
```
data_Tb4CeDy2Tm
_chemical_formula_sum 'Tb4 Ce1 Dy2 Tm1'
_cell_length_a 6.129
_cell_length_b 3.540
_cell_length_c 11.743
_cell_angle_alpha 90.00
_cell_angle_beta 100.04
_cell_angle_gamma 90.00
_symmetry_space_group_name_H-M 'P 1 2/m 1'
_symmetry_Int_Tables_number 10
_symmetry_space_group_name_Hall '-P 2y'
loop_
_atom_site_label
_atom_site_type_symbol
_atom_site_fract_x
_atom_site_fract_y
_atom_site_fract_z
Tb1 Tb 0.246 0.000 0.249
Tb2 Tb 0.247 0.500 0.750
Ce1 Ce 0.000 0.500 0.000
Dy1 Dy 0.500 0.000 0.000
Dy2 Dy 0.500 0.500 0.500
Tm1 Tm 0.000 0.000 0.500
```

---

Entry 9:
Here is an optimized crystal structure of TbCeDy2Tm5 from Alexandria. Energies are from PBE.

Summary:
Fermi-level density of states = 62.0 states/eV per cell
Magnetization = 2.48 μB per cell
Calculated formation energy = 0.17 eV/atom
Energy = -4.51 eV/atom

Geometry as CIF:
```
data_TbCeDy2Tm5
_chemical_formula_sum 'Tb4 Ce4 Dy8 Tm20'
_cell_length_a 5.627
_cell_length_b 21.250
_cell_length_c 9.485
_cell_angle_alpha 90.00
_cell_angle_beta 90.00
_cell_angle_gamma 90.00
_symmetry_space_group_name_H-M 'C m c 21'
_symmetry_Int_Tables_number 36
_symmetry_space_group_name_Hall 'C 2c -2'
loop_
_atom_site_label
_atom_site_type_symbol
_atom_site_fract_x
_atom_site_fract_y
_atom_site_fract_z
Tb1 Tb 0.000 0.097 0.000
Ce1 Ce 0.000 0.307 0.594
Dy1 Dy 0.000 0.365 0.279
Dy2 Dy 0.000 0.387 0.895
Tm1 Tm 0.000 0.028 0.319
Tm2 Tm 0.000 0.106 0.615
Tm3 Tm 0.000 0.193 0.289
Tm4 Tm 0.000 0.234 0.908
Tm5 Tm 0.000 0.486 0.588
```

---

Entry 10:
Here is an optimized crystal structure of Tb2CeDyTm4 from Alexandria. Energies are from PBE.

Summary:
Fermi-level density of states = 12.3 states/eV per cell
Magnetization = 0.86 μB per cell
Calculated formation energy = 0.04 eV/atom
Energy = -4.67 eV/atom

Geometry as CIF:
```
data_Tb2CeDyTm4
_chemical_formula_sum 'Tb2 Ce1 Dy1 Tm4'
_cell_length_a 4.987
_cell_length_b 4.987
_cell_length_c 9.877
_cell_angle_alpha 90.00
_cell_angle_beta 90.00
_cell_angle_gamma 90.00
_symmetry_space_group_name_H-M 'P 4/m m m'
_symmetry_Int_Tables_number 123
_symmetry_space_group_name_Hall '-P 4 2'
loop_
_atom_site_label
_atom_site_type_symbol
_atom_site_fract_x
_atom_site_fract_y
_atom_site_fract_z
Tb1 Tb 0.000 0.000 0.000
Tb2 Tb 0.500 0.500 0.500
Ce1 Ce 0.000 0.000 0.500
Dy1 Dy 0.500 0.500 0.000
Tm1 Tm 0.000 0.500 0.251
```

---

Copy entry 4 word for word.
Here is an optimized crystal structure of Tb3CeDy6Tm2 from Alexandria. Energies are from PBE.

Summary:
Fermi-level density of states = 37.5 states/eV per cell
Magnetization = 2.30 μB per cell
Calculated formation energy = 0.03 eV/atom
Energy = -4.66 eV/atom

Geometry as CIF:
```
data_Tb3CeDy6Tm2
_chemical_formula_sum 'Tb6 Ce2 Dy12 Tm4'
_cell_length_a 6.128
_cell_length_b 10.608
_cell_length_c 11.735
_cell_angle_alpha 90.00
_cell_angle_beta 100.02
_cell_angle_gamma 90.00
_symmetry_space_group_name_H-M 'C 1 2/m 1'
_symmetry_Int_Tables_number 12
_symmetry_space_group_name_Hall '-C 2y'
loop_
_atom_site_label
_atom_site_type_symbol
_atom_site_fract_x
_atom_site_fract_y
_atom_site_fract_z
Tb1 Tb 0.000 0.000 0.000
Tb2 Tb 0.000 0.333 0.000
Ce1 Ce 0.000 0.500 0.500
Dy1 Dy 0.249 0.334 0.749
Dy2 Dy 0.249 0.500 0.251
Tm1 Tm 0.000 0.167 0.500
```

---

Question: Among the records above, which one has the lowest magnetization?
Answer: Tb4CeDy2Tm